(1)
A plane-wave DFT calculation with PBE-GGA was carried out for a relaxed structure of DyYIr.

```
data_DyYIr
_space_group_name_H-M_alt 'F -4 3 m'
_space_group_IT_number 216
_space_group_name_Hall 'F -4 2 3'
_cell_length_a 6.6602
_cell_length_b 6.6602
_cell_length_c 6.6602
_cell_angle_alpha 90.00
_cell_angle_beta 90.00
_cell_angle_gamma 90.00
loop_
_atom_site_label
_atom_site_type_symbol
_atom_site_fract_x
_atom_site_fract_y
_atom_site_fract_z
_atom_site_occupancy
Dy1 Dy 0.0000 0.0000 0.0000 1
Y1 Y 0.2500 0.2500 0.2500 1
Ir1 Ir 0.0000 0.0000 0.5000 1
```

Formation energy: 0.22 eV per atom

=====

(2)
A plane-wave DFT calculation with PBE-GGA was carried out for a relaxed structure of DyZn4Ir.

```
data_DyZn4Ir
_space_group_name_H-M_alt 'F -4 3 m'
_space_group_IT_number 216
_space_group_name_Hall 'F -4 2 3'
_cell_length_a 7.2089
_cell_length_b 7.2089
_cell_length_c 7.2089
_cell_angle_alpha 90.00
_cell_angle_beta 90.00
_cell_angle_gamma 90.00
loop_
_atom_site_label
_atom_site_type_symbol
_atom_site_fract_x
_atom_site_fract_y
_atom_site_fract_z
_atom_site_occupancy
Dy1 Dy 0.0000 0.0000 0.0000 1
Zn1 Zn 0.1239 0.1239 0.6239 1
Ir1 Ir 0.2500 0.2500 0.2500 1
```

Formation energy: -0.43 eV per atom

=====

(3)
A plane-wave DFT calculation with PBE-GGA was carried out for a relaxed structure of DyZrZn2Ir4.

```
data_DyZrZn2Ir4
_space_group_name_H-M_alt 'P 4/m m m'
_space_group_IT_number 123
_space_group_name_Hall '-P 4 2'
_cell_length_a 4.5365
_cell_length_b 4.5365
_cell_length_c 6.4265
_cell_angle_alpha 90.00
_cell_angle_beta 90.00
_cell_angle_gamma 90.00
loop_
_atom_site_label
_atom_site_type_symbol
_atom_site_fract_x
_atom_site_fract_y
_atom_site_fract_z
_atom_site_occupancy
Dy1 Dy 0.0000 0.0000 0.0000 1
Zr1 Zr 0.5000 0.5000 0.5000 1
Zn1 Zn 0.0000 0.0000 0.5000 1
Zn2 Zn 0.5000 0.5000 0.0000 1
Ir1 Ir 0.0000 0.5000 0.2591 1
```

Formation energy: -0.52 eV per atom

=====

(4)
A plane-wave DFT calculation with PBE-GGA was carried out for a relaxed structure of Dy6Zr2Ir.

```
data_Dy6Zr2Ir
_space_group_name_H-M_alt 'P -6 2 m'
_space_group_IT_number 189
_space_group_name_Hall 'P -6 -2'
_cell_length_a 8.8323
_cell_length_b 8.8323
_cell_length_c 3.6176
_cell_angle_alpha 90.00
_cell_angle_beta 90.00
_cell_angle_gamma 120.00
loop_
_atom_site_label
_atom_site_type_symbol
_atom_site_fract_x
_atom_site_fract_y
_atom_site_fract_z
_atom_site_occupancy
Dy1 Dy 0.0000 0.2477 0.0000 1
Dy2 Dy 0.0000 0.6087 0.5000 1
Zr1 Zr 0.3333 0.6667 0.0000 1
Ir1 Ir 0.0000 0.0000 0.5000 1
```

Formation energy: -0.19 eV per atom

=====

no.,M_tot (μB/f.u.),E (eV per atom),ρ (g cm⁻³)
1,0.0,-6.419,10.0
2,0.0,-3.514,10.9
3,0.0,-6.909,14.5
4,0.0,-6.142,9.2